The following is a GGA-PBE calculation of RbZrI2N after structural relaxation, from the Alexandria database.

Results
As for the crystal system: tetragonal. The value obtained for the energy above the lowest structure with this stoichiometry is 0 meV per atom. The magnetization is 0.000 Bohr magnetons per cell. The space-group type is P4/mmm. The raw formation energy comes out at -0.7642 eV per atom.

Lattice parameters (Å, degrees): 6.1600 6.1600 4.1130 90.00 90.00 90.00
With the nearest neighbours (Å) after each atom.
Fractional positions:
1 Rb 0.0000 0.0000 0.0000  8 I 3.70, 2 Rb 4.11
2 Zr 0.5000 0.5000 0.5000  2 N 2.06
3 I 0.0000 0.5000 0.5000  2 Zr 3.08
4 I 0.5000 0.0000 0.5000  2 Zr 3.08
5 N 0.5000 0.5000 0.0000  2 Zr 2.06